[1]
A plane-wave DFT calculation with PBE was carried out for a relaxed Mn2TcTe crystal.

Output
* symmetry: Cm (8)
* crystal system: monoclinic
* electronic total energy: -7.641 eV per atom

```
Mn2TcTe
1.0
-2.9284 -3.4299 0.7342
-0.8985 -3.1586 3.1773
-3.2975 2.1262 2.5037
Mn Tc Te
2 1 1
direct
0.9971 0.9971 0.0214
0.2472 0.2472 0.2483
0.5059 0.5059 0.4638
0.7498 0.7498 0.7665
```


[2]
A plane-wave DFT calculation with PBE was carried out for a relaxed Mg5Ga crystal.

Output
* symmetry: Cmmm (65)
* crystal system: orthorhombic
* polymorph energy (0 for the lowest one): 22 meV per atom
* energy of formation: -0.031 eV per atom

```
Mg5Ga
1.0
3.5679 0.0000 0.0000
0.0000 4.9276 0.0000
0.0000 -2.4638 7.3905
Mg Ga
5 1
direct
0.0000 0.6753 0.3505
0.0000 0.3247 0.6495
0.5000 0.5000 0.0000
0.5000 0.1520 0.3040
0.5000 0.8480 0.6960
0.0000 0.0000 0.0000
```


[3]
A plane-wave DFT calculation with PBE was carried out for a relaxed SrCdFe crystal.

Output
* symmetry: F-43m (216)
* crystal system: cubic
* energy of formation: 0.961 eV per atom

```
SrCdFe
1.0
5.1987 0.0000 0.0000
2.5993 4.5022 0.0000
2.5993 1.5007 4.2447
Cd Fe Sr
1 1 1
direct
0.0000 0.0000 0.0000
0.5000 0.5000 0.5000
0.2500 0.2500 0.2500
```


[4]
A plane-wave DFT calculation with PBE was carried out for a relaxed Rb2PmSO6 crystal.

Output
* symmetry: P-3m1 (164)
* crystal system: trigonal
* electronic total energy: -5.615 eV per atom

```
Rb2PmSO6
1.0
5.7872 0.0000 0.0000
0.0000 6.4153 0.0000
0.0000 -3.2076 5.5558
Rb Pm S O
2 1 1 6
direct
0.1072 0.3333 0.6667
0.8928 0.6667 0.3333
0.5000 0.0000 0.0000
0.0000 0.0000 0.0000
0.8291 0.1242 0.2485
0.8291 0.1242 0.8758
0.8291 0.7515 0.8758
0.1709 0.8758 0.1242
0.1709 0.2485 0.1242
0.1709 0.8758 0.7515
```


[5]
A plane-wave DFT calculation with PBE was carried out for a relaxed Nd2HfThAs4 crystal.

Output
* symmetry: P2/m (10)
* crystal system: monoclinic
* energy of formation: -1.321 eV per atom

```
Nd2HfThAs4
1.0
4.1544 0.0000 0.0000
0.0000 7.1728 0.1217
0.0000 -2.5091 6.7800
Nd Hf Th As
2 1 1 4
direct
0.5000 0.0000 0.5000
0.0000 0.5000 0.5000
0.0000 0.0000 0.0000
0.5000 0.5000 0.0000
0.5000 0.2296 0.2291
0.5000 0.7704 0.7709
0.0000 0.2394 0.7616
0.0000 0.7606 0.2384
```


[6]
A plane-wave DFT calculation with PBE was carried out for a relaxed ErU3Tl3S8 crystal.

Output
* symmetry: R-3m (166)
* crystal system: trigonal
* electronic total energy: -6.458 eV per atom

```
ErU3Tl3S8
1.0
-4.8760 5.5663 3.0441
4.8268 -4.1669 4.8336
3.8322 6.1663 -5.1371
Er U Tl S
1 3 3 8
direct
0.0000 0.0000 0.5000
0.5000 0.0000 0.5000
0.5000 0.5000 0.5000
0.0000 0.5000 0.5000
0.0000 0.0000 0.0000
0.0000 0.5000 0.0000
0.5000 0.5000 0.0000
0.2680 0.5359 0.3040
0.7320 0.4641 0.6960
0.7690 0.5381 0.3062
0.2310 0.4619 0.6938
0.7691 0.0370 0.3062
0.2309 0.9630 0.6938
0.2680 0.0370 0.3062
0.7320 0.9630 0.6938
```


[7]
A plane-wave DFT calculation with PBE was carried out for a relaxed NaMg2SnIr crystal.

Output
* symmetry: P4/mmm (123)
* crystal system: tetragonal
* polymorph energy (0 for the lowest one): 0 meV per atom
* energy of formation: -0.196 eV per atom

```
NaMg2SnIr
1.0
-0.9706 -2.2414 4.4795
-4.0654 -2.3129 -2.0382
2.9032 -3.9261 -1.3354
Na Mg Ir Sn
1 2 1 1
direct
0.5000 0.5000 0.5000
0.0000 0.5000 0.0000
0.5000 0.0000 0.0000
0.0000 0.0000 0.0000
0.0000 0.0000 0.5000
```


[8]
A plane-wave DFT calculation with PBE was carried out for a relaxed SrScSe crystal.

Output
* symmetry: F-43m (216)
* crystal system: cubic
* polymorph energy (0 for the lowest one): 370 meV per atom

```
SrScSe
1.0
4.9371 0.0000 0.0000
2.4686 4.2757 0.0000
2.4686 1.4252 4.0311
Sc Se Sr
1 1 1
direct
0.5000 0.5000 0.5000
0.7500 0.7500 0.7500
0.0000 0.0000 0.0000
```


[9]
A plane-wave DFT calculation with PBE was carried out for a relaxed K3Pm3BiO8 crystal.

Output
* symmetry: R-3m (166)
* crystal system: trigonal
* electronic total energy: -6.404 eV per atom

```
K3Pm3BiO8
1.0
7.1580 -0.0007 0.0006
-3.5796 6.1994 -0.0232
0.0009 -4.1108 6.3792
K Pm Bi O
3 3 1 8
direct
0.0000 0.0000 0.0000
0.0000 0.5000 0.0000
0.5000 0.5000 0.0000
0.5000 0.0000 0.5000
0.5000 0.5000 0.5000
0.0000 0.5000 0.5000
0.0000 0.0000 0.5000
0.2720 0.5440 0.3161
0.7280 0.4560 0.6839
0.7789 0.5578 0.3168
0.2211 0.4422 0.6832
0.7789 0.0377 0.3168
0.2211 0.9623 0.6832
0.2589 0.0378 0.3168
0.7411 0.9622 0.6832
```


[10]
A plane-wave DFT calculation with PBE was carried out for a relaxed TiZnCrGa crystal.

Output
* symmetry: F-43m (216)
* crystal system: cubic
* energy of formation: -0.098 eV per atom

```
TiZnCrGa
1.0
-1.8012 -3.5884 1.7409
1.4500 -3.9614 -1.1646
2.2690 -2.4247 2.8502
Cr Zn Ga Ti
1 1 1 1
direct
0.0000 0.0000 0.0000
0.7500 0.7500 0.7500
0.2500 0.2500 0.2500
0.5000 0.5000 0.5000
```


[11]
A plane-wave DFT calculation with PBE was carried out for a relaxed InSi2BPd crystal.

Output
* symmetry: P4/mmm (123)
* crystal system: tetragonal
* electronic total energy: -4.369 eV per atom

```
InSi2BPd
1.0
-2.8214 -3.9265 0.7024
0.9914 -0.0131 3.9088
-3.8037 2.9075 0.9745
Si B Pd In
2 1 1 1
direct
0.0000 0.0000 0.5000
0.5000 0.0000 0.0000
0.0000 0.5000 0.0000
0.0000 0.0000 0.0000
0.5000 0.5000 0.5000
```


[12]
A plane-wave DFT calculation with PBE was carried out for a relaxed Cr2MoSe crystal.

Output
* symmetry: R3m (160)
* crystal system: trigonal
* electronic total energy: -8.023 eV per atom

```
Cr2MoSe
1.0
-6.5891 0.4029 4.4541
-7.4739 -1.4289 2.3488
-5.9815 -2.4543 4.6493
Cr Mo Se
2 1 1
direct
0.9937 0.9937 0.9937
0.2586 0.2586 0.2586
0.4997 0.4997 0.4997
0.7481 0.7481 0.7481
```


[13]
A plane-wave DFT calculation with PBE was carried out for a relaxed HoThHgPd crystal.

Output
* symmetry: F-43m (216)
* crystal system: cubic
* energy of formation: -0.487 eV per atom

```
HoThHgPd
1.0
5.2022 0.0000 0.0000
2.6011 4.5053 0.0000
2.6011 1.5018 4.2476
Pd Hg Th Ho
1 1 1 1
direct
0.0000 0.0000 0.0000
0.5000 0.5000 0.5000
0.7500 0.7500 0.7500
0.2500 0.2500 0.2500
```


[14]
A plane-wave DFT calculation with PBE was carried out for a relaxed SbRuCl2 crystal.

Output
* symmetry: Fm-3m (225)
* crystal system: cubic
* polymorph energy (0 for the lowest one): 835 meV per atom

```
SbRuCl2
1.0
0.9370 -4.1586 2.2541
2.2209 0.0246 4.2802
-2.4383 -1.1833 3.9884
Sb Cl Ru
1 2 1
direct
0.5000 0.5000 0.5000
0.2500 0.2500 0.2500
0.7500 0.7500 0.7500
0.0000 0.0000 0.0000
```


[15]
A plane-wave DFT calculation with PBE was carried out for a relaxed Sc2IrPt crystal.

Output
* symmetry: I-42d (122)
* crystal system: tetragonal
* energy of formation: -0.654 eV per atom

```
Sc2IrPt
1.0
-0.8707 2.0701 -6.7847
-7.0873 -0.5398 0.7449
-4.1008 3.5636 -2.1504
Sc Ir Pt
4 2 2
direct
0.6177 0.1250 0.2500
0.1323 0.6250 0.2500
0.3750 0.3823 0.7500
0.8750 0.8677 0.7500
0.5000 0.5000 0.0000
0.2500 0.7500 0.5000
0.0000 0.0000 0.0000
0.7500 0.2500 0.5000
```


[16]
A plane-wave DFT calculation with PBE was carried out for a relaxed PaMnReGe crystal.

Output
* symmetry: F-43m (216)
* crystal system: cubic
* energy of formation: 0.086 eV per atom

```
PaMnReGe
1.0
-3.0416 1.9650 -2.7794
-3.6586 -2.3428 -1.4012
-4.1469 1.0941 1.5631
Re Ge Pa Mn
1 1 1 1
direct
0.7500 0.7500 0.7500
0.0000 0.0000 0.0000
0.5000 0.5000 0.5000
0.2500 0.2500 0.2500
```


[17]
A plane-wave DFT calculation with PBE was carried out for a relaxed B3OsC crystal.

Output
* symmetry: Pm-3m (221)
* crystal system: cubic
* polymorph energy (0 for the lowest one): 0 meV per atom
* energy of formation: 1.641 eV per atom

```
B3OsC
1.0
-2.9776 1.2138 -1.2550
-1.7458 -2.0400 2.1692
0.0211 2.5060 2.3737
C B Os
1 3 1
direct
0.0000 0.0000 0.0000
0.0000 0.5000 0.0000
0.0000 0.0000 0.5000
0.5000 0.0000 0.0000
0.5000 0.5000 0.5000
```


[18]
A plane-wave DFT calculation with PBE was carried out for a relaxed PmTaS3 crystal.

Output
* symmetry: P-1 (2)
* crystal system: triclinic
* electronic total energy: -7.169 eV per atom

```
PmTaS3
1.0
-3.3961 -0.1335 0.8630
1.4291 -2.0009 5.3217
2.3552 9.5463 3.6338
Pm Ta S
2 2 6
direct
0.0029 0.7586 0.2305
0.8645 0.0831 0.9545
0.6849 0.2126 0.5950
0.1825 0.6292 0.5900
0.7475 0.8232 0.7204
0.6009 0.5347 0.4266
0.3975 0.6969 0.0192
0.2665 0.3070 0.7584
0.4699 0.1447 0.1658
0.1199 0.0186 0.4646
```


[19]
A plane-wave DFT calculation with PBE was carried out for a relaxed Li2GaIrN crystal.

Output
* symmetry: P4/mmm (123)
* crystal system: tetragonal
* electronic total energy: -5.123 eV per atom

```
Li2GaIrN
1.0
4.1824 0.0000 0.0000
0.0000 4.1824 0.0000
0.0000 0.0000 3.7599
Ir Li Ga N
1 2 1 1
direct
0.0000 0.0000 0.5000
0.0000 0.5000 0.0000
0.5000 0.0000 0.0000
0.5000 0.5000 0.5000
0.0000 0.0000 0.0000
```


[20]
A plane-wave DFT calculation with PBE was carried out for a relaxed Li3PuPa3Se8 crystal.

Output
* symmetry: R-3m (166)
* crystal system: trigonal
* electronic total energy: -6.393 eV per atom

```
Li3PuPa3Se8
1.0
8.1541 0.0000 -0.0001
-4.0771 7.0611 -0.0272
-0.0001 -4.6841 6.5569
Li Pu Pa Se
3 1 3 8
direct
0.0000 0.0000 0.0000
0.0000 0.5000 0.0000
0.5000 0.5000 0.0000
0.0000 0.0000 0.5000
0.5000 0.0000 0.5000
0.5000 0.5000 0.5000
0.0000 0.5000 0.5000
0.2458 0.4917 0.2377
0.7542 0.5083 0.7623
0.7457 0.4914 0.2445
0.2543 0.5086 0.7555
0.7457 0.9986 0.2445
0.2543 0.0014 0.7555
0.2529 0.9986 0.2444
0.7471 0.0014 0.7556
```


[21]
A plane-wave DFT calculation with PBE was carried out for a relaxed La3Ge2Pt crystal.

Output
* symmetry: Pnma (62)
* crystal system: orthorhombic
* energy of formation: -0.954 eV per atom

```
La3Ge2Pt
1.0
-0.5246 3.7766 2.3521
-9.1421 3.1500 -7.0967
-7.7662 -5.7266 7.4628
La Ge Pt
12 8 4
direct
0.2500 0.3735 0.0571
0.7500 0.6265 0.9429
0.7500 0.8735 0.4429
0.2500 0.1265 0.5571
0.2500 0.6923 0.2182
0.7500 0.3077 0.7818
0.7500 0.1923 0.2818
0.2500 0.8077 0.7182
0.2500 0.4443 0.3813
0.7500 0.5557 0.6187
0.7500 0.9443 0.1187
0.2500 0.0557 0.8813
0.2500 0.6918 0.4836
0.7500 0.3082 0.5164
0.7500 0.1918 0.0164
0.2500 0.8082 0.9836
0.2500 0.9995 0.3072
0.7500 0.0005 0.6928
0.7500 0.4995 0.1928
0.2500 0.5005 0.8072
0.2500 0.1299 0.1262
0.7500 0.8701 0.8738
0.7500 0.6299 0.3738
0.2500 0.3701 0.6262
```


[22]
A plane-wave DFT calculation with PBE was carried out for a relaxed PmLu2Mg crystal.

Output
* symmetry: P4/mmm (123)
* crystal system: tetragonal
* polymorph energy (0 for the lowest one): 45 meV per atom
* energy of formation: 0.028 eV per atom

```
PmLu2Mg
1.0
-0.2571 -1.8725 4.5693
3.3512 -3.3137 -1.1694
3.5049 3.0360 1.4414
Mg Lu Pm
1 2 1
direct
0.5000 0.0000 0.0000
0.0000 0.0000 0.5000
0.0000 0.5000 0.0000
0.5000 0.5000 0.5000
```


[23]
A plane-wave DFT calculation with PBE was carried out for a relaxed PrZrZnN3 crystal.

Output
* symmetry: P2_1/m (11)
* crystal system: monoclinic
* electronic total energy: -7.511 eV per atom

```
PrZrZnN3
1.0
-2.0374 -1.3584 2.3199
-0.6542 -5.8125 -3.9781
5.9243 -1.6340 4.2461
Pr Zr Zn N
2 2 2 6
direct
0.2500 0.1927 0.2242
0.7500 0.8073 0.7758
0.2500 0.6600 0.1432
0.7500 0.3400 0.8568
0.2500 0.1124 0.5948
0.7500 0.8876 0.4052
0.7500 0.8673 0.1314
0.2500 0.1327 0.8686
0.2500 0.7932 0.5078
0.7500 0.2068 0.4922
0.7500 0.4375 0.1453
0.2500 0.5625 0.8547
```


[24]
A plane-wave DFT calculation with PBE was carried out for a relaxed Nb6ReW5 crystal.

Output
* symmetry: Immm (71)
* crystal system: orthorhombic
* energy of formation: -0.102 eV per atom

```
Nb6ReW5
1.0
4.3642 0.0036 -1.3428
-0.7095 6.0084 -2.2896
0.0505 -0.4560 7.9263
Re Nb W
1 6 5
direct
0.0000 0.0000 0.0000
0.1660 0.4153 0.3319
0.1660 0.9166 0.3319
0.5000 0.2487 0.0000
0.5000 0.7513 0.0000
0.8340 0.0834 0.6681
0.8340 0.5847 0.6681
0.3334 0.8334 0.6667
0.6664 0.6664 0.3329
0.0000 0.5000 0.0000
0.3336 0.3336 0.6671
0.6666 0.1666 0.3333
```